1.
Material: La7In2Hg2
Method: DFT, PBE-GGA
State: relaxed

a b c (Å): 8.5592 11.6692 7.6494
angles (deg): 90.00 90.00 90.00
Last column: nearest neighbours and their distance in Å.
Space group Cmmm (No. 65)
One atom of each set of equivalent atoms:
La 0.0000 0.0000 0.0000  2 Hg 3.33
La 0.0000 0.5000 0.2742  2 Hg 3.26, 2 In 3.36, 5 La 3.45-3.62
La 0.2500 0.2500 0.2980  1 La 3.09, 2 Hg 3.15, 2 In 3.38
In 0.1636 0.0000 0.5000  1 In 2.80
Hg 0.0000 0.2857 0.0000  7 La 3.15-3.33

Properties
mass density: 6969 kg/m³
E_tot: -42.53 eV/f.u.
energy of formation: -0.178 eV per atom


2.
Material: LaInHg
Method: DFT, PBE-GGA
State: relaxed

a b c (Å): 7.1919 7.1919 7.1919
angles (deg): 90.00 90.00 90.00
Last column: nearest neighbours and their distance in Å.
Space group F-43m (No. 216)
One atom of each set of equivalent atoms:
La 0.0000 0.0000 0.0000  4 In 3.11
In 0.2500 0.2500 0.2500  4 Hg 3.11, 4 La 3.11
Hg 0.0000 0.0000 0.5000  4 In 3.11

Properties
mass density: 8112 kg/m³
E_tot: -8.98 eV/f.u.
energy of formation: -0.337 eV per atom


3.
Material: LaInHg
Method: DFT, PBE-GGA
State: relaxed

a b c (Å): 4.7085 4.7085 7.8160
angles (deg): 90.00 90.00 90.00
Last column: nearest neighbours and their distance in Å.
Space group P4/nmm (No. 129, origin choice 2)
One atom of each set of equivalent atoms:
La 0.2500 0.2500 0.1773  5 Hg 3.24-3.36, 4 In 3.45
In 0.2500 0.7500 0.5000  4 Hg 3.12, 4 In 3.33, 4 La 3.45
Hg 0.2500 0.2500 0.7625  4 In 3.12, 5 La 3.24-3.36

Properties
mass density: 8707 kg/m³
E_tot: -9.33 eV/f.u.
energy of formation: -0.453 eV per atom


4.
Material: LaInHg
Method: DFT, PBE-GGA
State: relaxed

a b c (Å): 3.8007 5.0184 8.7444
angles (deg): 90.00 90.00 90.00
Last column: nearest neighbours and their distance in Å.
Space group Pmmm (No. 47)
One atom of each set of equivalent atoms:
La 0.0000 0.0000 0.0000  8 Hg 3.47, 4 In 3.47, 2 La 3.80
La 0.0000 0.5000 0.5000  8 In 3.47, 4 Hg 3.48, 2 La 3.80
In 0.5000 0.0000 0.3324  2 Hg 2.90, 1 In 2.93
Hg 0.5000 0.5000 0.1663  2 In 2.90, 1 Hg 2.91

Properties
mass density: 9046 kg/m³
E_tot: -9.48 eV/f.u.
energy of formation: -0.503 eV per atom


5.
Material: LaIn2Hg
Method: DFT, PBE-GGA
State: relaxed

a b c (Å): 4.7469 4.7469 9.9177
angles (deg): 90.00 90.00 90.00
Last column: nearest neighbours and their distance in Å.
Space group I4/mmm (No. 139)
One atom of each set of equivalent atoms:
La 0.0000 0.0000 0.0000  4 Hg 3.36, 8 In 3.43
In 0.0000 0.5000 0.2500  4 In 3.36, 4 La 3.43, 4 Hg 3.43
Hg 0.0000 0.0000 0.5000  4 La 3.36, 8 In 3.43

Properties
mass density: 8458 kg/m³
E_tot: -11.96 eV/f.u.
energy of formation: -0.313 eV per atom


6.
Material: LaInHg
Method: DFT, PBE-GGA
State: relaxed

a b c (Å): 4.9739 8.7531 7.7787
angles (deg): 90.00 90.00 90.00
Last column: nearest neighbours and their distance in Å.
Space group Imm2 (No. 44)
One atom of each set of equivalent atoms:
La 0.0000 0.0000 0.0000  4 Hg 3.29, 6 In 3.37-3.62
La 0.0000 0.0000 0.4878  6 Hg 3.32-3.66, 6 In 3.34-3.66
In 0.0000 0.3320 0.2765  2 Hg 2.92, 1 In 2.94
Hg 0.0000 0.3289 0.7003  2 In 2.92, 1 Hg 3.00

Properties
mass density: 8910 kg/m³
E_tot: -9.51 eV/f.u.
energy of formation: -0.516 eV per atom


7.
Material: LaIn2Hg
Method: DFT, PBE-GGA
State: relaxed

a b c (Å): 4.9560 4.9560 17.6843
angles (deg): 90.00 90.00 90.00
Last column: nearest neighbours and their distance in Å.
Space group I4/mmm (No. 139)
One atom of each set of equivalent atoms:
La 0.0000 0.0000 0.1300  4 Hg 3.26, 8 In 3.38-3.50
In 0.0000 0.0000 0.3682  4 Hg 3.24, 4 In 3.40, 4 La 3.50
In 0.0000 0.5000 0.0000  4 La 3.38, 8 In 3.40-3.50
Hg 0.0000 0.5000 0.2500  4 In 3.24, 4 La 3.26, 4 Hg 3.50

Properties
mass density: 8703 kg/m³
E_tot: -12.53 eV/f.u.
energy of formation: -0.457 eV per atom


8.
Material: La8InHg2
Method: DFT, PBE-GGA
State: relaxed

a b c (Å): 5.2301 8.8704 15.5601
angles (deg): 90.00 90.00 90.00
Last column: nearest neighbours and their distance in Å.
Space group Immm (No. 71)
One atom of each set of equivalent atoms:
La 0.0000 0.0000 0.1401  2 In 3.40, 8 La 3.59-3.73, 2 Hg 3.65
La 0.0000 0.2244 0.3430  3 Hg 3.34-3.35, 1 In 3.46, 5 La 3.59-3.73
La 0.0000 0.3238 0.0000  1 La 3.13, 2 Hg 3.43
In 0.0000 0.5000 0.5000  8 La 3.40-3.46
Hg 0.0000 0.5000 0.1962  10 La 3.34-3.65

Properties
mass density: 7486 kg/m³
E_tot: -45.33 eV/f.u.
energy relative to the lowest polymorph listed for this composition: 0.0 meV per atom
energy of formation: -0.234 eV per atom


9.
Material: LaInHg
Method: DFT, PBE-GGA
State: relaxed

a b c (Å): 9.3396 5.3940 6.7107
angles (deg): 90.00 90.09 90.00
Last column: nearest neighbours and their distance in Å.
Space group Cm (No. 8)
One atom of each set of equivalent atoms:
La 0.0000 0.0000 0.0000  3 In 3.13, 5 Hg 3.29-3.46
La 0.1674 0.5000 0.4666  3 Hg 3.13, 2 In 3.31-3.40
In 0.1665 0.5000 0.9597  5 La 3.13-3.40, 3 In 3.48-3.50
In 0.3337 0.0000 0.7243  5 Hg 3.35-3.43, 3 In 3.48-3.50, 6 La 3.56-3.63
Hg 0.0008 0.0000 0.5099  5 La 3.13-3.42, 3 In 3.42-3.43
Hg 0.3336 0.0000 0.2248  5 In 3.35-3.59, 6 La 3.46-3.51, 3 Hg 3.65-3.66

Properties
mass density: 8926 kg/m³
E_tot: -9.36 eV/f.u.
energy of formation: -0.463 eV per atom


10.
Material: La2InHg
Method: DFT, PBE-GGA
State: relaxed

a b c (Å): 5.5943 5.5943 3.9092
angles (deg): 90.00 90.00 90.00
Last column: nearest neighbours and their distance in Å.
Space group P4/mmm (No. 123)
One atom of each set of equivalent atoms:
La 0.0000 0.5000 0.0000  4 Hg 3.41, 4 In 3.41
In 0.0000 0.0000 0.5000  8 La 3.41
Hg 0.5000 0.5000 0.5000  8 La 3.41

Properties
mass density: 8052 kg/m³
E_tot: -14.88 eV/f.u.
energy of formation: -0.496 eV per atom


11.
Material: La8InHg2
Method: DFT, PBE-GGA
State: relaxed

a b c (Å): 9.0525 15.2049 5.7675
angles (deg): 90.00 110.71 90.00
Last column: nearest neighbours and their distance in Å.
Space group C2/m (No. 12)
One atom of each set of equivalent atoms:
La 0.0000 0.2269 0.0000  2 Hg 3.14, 1 In 3.45
La 0.1008 0.5000 0.8044  4 La 3.34-3.73, 2 Hg 3.36, 1 In 3.38
La 0.1924 0.1072 0.5856  2 Hg 3.26-3.47, 2 La 3.26-3.27, 1 In 3.60
In 0.0000 0.0000 0.0000  12 La 3.38-3.79
Hg 0.0000 0.3084 0.5000  8 La 3.14-3.47

Properties
mass density: 7278 kg/m³
E_tot: -45.06 eV/f.u.
energy relative to the lowest polymorph listed for this composition: 24.7 meV per atom
energy of formation: -0.209 eV per atom


12.
Material: La11In9Hg4
Method: DFT, PBE-GGA
State: relaxed

a b c (Å): 15.5104 23.4151 3.9696
angles (deg): 90.00 90.00 90.00
Last column: nearest neighbours and their distance in Å.
Space group Cmmm (No. 65)
One atom of each set of equivalent atoms:
La 0.0000 0.0000 0.0000  8 In 3.42, 2 La 3.79
La 0.0000 0.1620 0.0000  8 In 3.48-3.55, 3 La 3.65-3.79
La 0.0000 0.3637 0.0000  4 Hg 3.21, 4 In 3.47
La 0.2125 0.5000 0.0000  4 Hg 3.20, 4 In 3.53
La 0.2338 0.1783 0.0000  2 Hg 3.23, 1 La 3.40, 6 In 3.45-3.49
In 0.0000 0.5000 0.5000  4 Hg 3.32
In 0.1035 0.2631 0.5000  1 In 3.21, 1 Hg 3.30, 8 La 3.46-3.49
In 0.1382 0.0757 0.5000  1 Hg 3.29, 8 La 3.42-3.55, 1 In 3.55
Hg 0.1526 0.4003 0.5000  6 La 3.20-3.23, 3 In 3.29-3.32

Properties
mass density: 7749 kg/m³
E_tot: -92.11 eV/f.u.
energy of formation: -0.502 eV per atom